(1)
VASP calculation (PBE-GGA) on an optimized crystal structure of SnSbIr2.

Summary:
**ΔE_f (raw)**: 310 meV/atom
**Theoretical density**: 9.90 Mg/m³
**M_tot**: 0.00 Bohr magnetons per cell

Geometry as POSCAR:
```
SnSbIr2
1.0
-2.9594 2.9594 5.9850
2.9594 -2.9594 5.9850
2.9594 2.9594 -5.9850
Sn Sb Ir
2 2 4
direct
0.0000 0.0000 0.0000 Sn
0.7500 0.2500 0.5000 Sn
0.2500 0.7500 0.5000 Sb
0.5000 0.5000 0.0000 Sb
0.1319 0.6250 0.0069 Ir
0.3750 0.3819 0.5069 Ir
0.6181 0.1250 0.9931 Ir
0.8750 0.8681 0.4931 Ir
```

=====

(2)
VASP calculation (PBE-GGA) on an optimized crystal structure of SnSbIr2.

Summary:
**ΔE_f (raw)**: 209 meV/atom
**Theoretical density**: 14.32 Mg/m³
**M_tot**: 0.00 Bohr magnetons per cell

Geometry as POSCAR:
```
SnSbIr2
1.0
0.0000 3.3087 3.3087
3.3087 0.0000 3.3087
3.3087 3.3087 0.0000
Sn Sb Ir
1 1 2
direct
0.0000 0.0000 0.0000 Sn
0.5000 0.5000 0.5000 Sb
0.2500 0.2500 0.2500 Ir
0.7500 0.7500 0.7500 Ir
```

=====

(3)
VASP calculation (PBE-GGA) on an optimized crystal structure of Sn2SbIr2.

Summary:
**ΔE_f (raw)**: 42 meV/atom
**Theoretical density**: 12.03 Mg/m³
**M_tot**: 0.00 Bohr magnetons per cell

Geometry as POSCAR:
```
Sn2SbIr2
1.0
1.9754 -12.4374 0.0000
1.9754 12.4374 0.0000
0.0000 0.0000 4.1786
Sn Sb Ir
4 2 4
direct
0.0576 0.9424 0.7500 Sn
0.2472 0.7528 0.2500 Sn
0.7528 0.2472 0.7500 Sn
0.9424 0.0576 0.2500 Sn
0.3627 0.6373 0.7500 Sb
0.6373 0.3627 0.2500 Sb
0.1761 0.8239 0.7500 Ir
0.4676 0.5324 0.7500 Ir
0.5324 0.4676 0.2500 Ir
0.8239 0.1761 0.2500 Ir
```

=====

(4)
VASP calculation (PBE-GGA) on an optimized crystal structure of SnSbIr.

Summary:
**ΔE_f (raw)**: 8 meV/atom
**Theoretical density**: 9.73 Mg/m³
**M_tot**: 0.00 Bohr magnetons per cell

Geometry as POSCAR:
```
SnSbIr
1.0
3.1034 0.0000 0.0000
0.0081 6.9376 0.0000
0.0273 2.8385 6.8593
Sn Sb Ir
2 2 2
direct
0.0000 0.0000 0.0000 Sn
0.0000 0.5000 0.0000 Sn
0.4976 0.2353 0.5279 Sb
0.5024 0.7647 0.4721 Sb
0.4999 0.1709 0.1926 Ir
0.5001 0.8291 0.8074 Ir
```

=====

(5)
VASP calculation (PBE-GGA) on an optimized crystal structure of SnSb2Ir.

Summary:
**ΔE_f (raw)**: 128 meV/atom
**Theoretical density**: 7.30 Mg/m³
**M_tot**: 0.00 Bohr magnetons per cell

Geometry as POSCAR:
```
SnSb2Ir
1.0
-3.1430 3.1430 6.3812
3.1430 -3.1430 6.3812
3.1430 3.1430 -6.3812
Sn Sb Ir
2 4 2
direct
0.0000 0.0000 0.0000 Sn
0.7500 0.2500 0.5000 Sn
0.1788 0.6250 0.0538 Sb
0.3750 0.4288 0.5538 Sb
0.5712 0.1250 0.9462 Sb
0.8750 0.8212 0.4462 Sb
0.2500 0.7500 0.5000 Ir
0.5000 0.5000 0.0000 Ir
```

=====

(6)
VASP calculation (PBE-GGA) on an optimized crystal structure of SnSb12Ir4.

Summary:
**ΔE_f (raw)**: -258 meV/atom
**Theoretical density**: 9.27 Mg/m³
**M_tot**: 0.00 Bohr magnetons per cell

Geometry as POSCAR:
```
SnSb12Ir4
1.0
-4.7212 4.7212 4.7212
4.7212 -4.7212 4.7212
4.7212 4.7212 -4.7212
Sn Sb Ir
1 12 4
direct
0.0000 0.0000 0.0000 Sn
0.1534 0.3368 0.4902 Sb
0.1534 0.6632 0.8165 Sb
0.1835 0.8466 0.3368 Sb
0.3368 0.1835 0.8466 Sb
0.3368 0.4902 0.1534 Sb
0.4902 0.1534 0.3368 Sb
0.5098 0.8466 0.6632 Sb
0.6632 0.5098 0.8466 Sb
0.6632 0.8165 0.1534 Sb
0.8165 0.1534 0.6632 Sb
0.8466 0.3368 0.1835 Sb
0.8466 0.6632 0.5098 Sb
0.0000 0.0000 0.5000 Ir
0.0000 0.5000 0.0000 Ir
0.5000 0.0000 0.0000 Ir
0.5000 0.5000 0.5000 Ir
```

=====

(7)
VASP calculation (PBE-GGA) on an optimized crystal structure of Sn5SbIr3.

Summary:
**ΔE_f (raw)**: -183 meV/atom
**Theoretical density**: 9.40 Mg/m³
**M_tot**: 0.00 Bohr magnetons per cell

Geometry as POSCAR:
```
Sn5SbIr3
1.0
5.8865 -4.4122 0.0000
5.8865 4.4122 0.0000
-3.8764 0.0000 8.7855
Sn Sb Ir
10 2 6
direct
0.0631 0.0631 0.3621 Sn
0.1283 0.5334 0.3318 Sn
0.2004 0.7996 0.0000 Sn
0.2640 0.2640 0.9659 Sn
0.4666 0.8717 0.6682 Sn
0.5334 0.1283 0.3318 Sn
0.7360 0.7360 0.0341 Sn
0.7996 0.2004 0.0000 Sn
0.8717 0.4666 0.6682 Sn
0.9369 0.9369 0.6379 Sn
0.4030 0.4030 0.7010 Sb
0.5970 0.5970 0.2990 Sb
0.1672 0.1672 0.1667 Ir
0.1703 0.1703 0.6639 Ir
0.5000 0.5000 0.0000 Ir
0.5000 0.5000 0.5000 Ir
0.8298 0.8298 0.3361 Ir
0.8328 0.8328 0.8333 Ir
```

=====

(8)
VASP calculation (PBE-GGA) on an optimized crystal structure of SnSb3Ir.

Summary:
**ΔE_f (raw)**: 435 meV/atom
**Theoretical density**: 7.83 Mg/m³
**M_tot**: 0.00 Bohr magnetons per cell

Geometry as POSCAR:
```
SnSb3Ir
1.0
5.2343 0.0000 0.0000
0.0000 5.2343 0.0000
0.0000 0.0000 5.2343
Sn Sb Ir
1 3 1
direct
0.0000 0.0000 0.0000 Sn
0.0000 0.5000 0.5000 Sb
0.5000 0.0000 0.5000 Sb
0.5000 0.5000 0.0000 Sb
0.5000 0.5000 0.5000 Ir
```

=====

(9)
VASP calculation (PBE-GGA) on an optimized crystal structure of SnSbIr.

Summary:
**ΔE_f (raw)**: -59 meV/atom
**Theoretical density**: 10.23 Mg/m³
**M_tot**: 0.00 Bohr magnetons per cell

Geometry as POSCAR:
```
SnSbIr
1.0
3.7527 0.0000 0.0000
-1.8764 3.2499 0.0000
0.0000 0.0000 5.7614
Sn Sb Ir
1 1 1
direct
0.0000 0.0000 0.0000 Sn
0.6667 0.3333 0.5508 Sb
0.3333 0.6667 0.2890 Ir
```

=====

(10)
VASP calculation (PBE-GGA) on an optimized crystal structure of SnSb2Ir.

Summary:
**ΔE_f (raw)**: 447 meV/atom
**Theoretical density**: 9.60 Mg/m³
**M_tot**: 0.00 Bohr magnetons per cell

Geometry as POSCAR:
```
SnSb2Ir
1.0
1.5662 0.9042 11.2894
-1.5662 0.9042 11.2894
0.0000 -1.8085 11.2894
Sn Sb Ir
1 2 1
direct
0.0000 0.0000 0.0000 Sn
0.4236 0.4236 0.4236 Sb
0.5764 0.5764 0.5764 Sb
0.5000 0.5000 0.5000 Ir
```

=====

(11)
VASP calculation (PBE-GGA) on an optimized crystal structure of Sr2Sn3SbIr4.

Summary:
**ΔE_f (raw)**: -468 meV/atom
**Theoretical density**: 10.39 Mg/m³
**M_tot**: 0.00 Bohr magnetons per cell

Geometry as POSCAR:
```
Sr2Sn3SbIr4
1.0
4.5794 0.0000 0.0000
0.0000 4.5794 0.0000
0.0000 0.0000 10.8341
Sr Sn Sb Ir
2 3 1 4
direct
0.0000 0.5000 0.2453 Sr
0.5000 0.0000 0.7547 Sr
0.0000 0.5000 0.8713 Sn
0.5000 0.0000 0.1287 Sn
0.5000 0.5000 0.5000 Sn
0.0000 0.0000 0.5000 Sb
0.0000 0.0000 0.0000 Ir
0.0000 0.5000 0.6260 Ir
0.5000 0.0000 0.3740 Ir
0.5000 0.5000 0.0000 Ir
```

=====

(12)
VASP calculation (PBE-GGA) on an optimized crystal structure of Sr2SnSb3Ir4.

Summary:
**ΔE_f (raw)**: -503 meV/atom
**Theoretical density**: 10.58 Mg/m³
**M_tot**: 0.00 Bohr magnetons per cell

Geometry as POSCAR:
```
Sr2SnSb3Ir4
1.0
4.5118 0.0000 0.0000
0.0000 4.5118 0.0000
0.0000 0.0000 11.0144
Sr Sn Sb Ir
2 1 3 4
direct
0.0000 0.5000 0.2498 Sr
0.5000 0.0000 0.7502 Sr
0.0000 0.0000 0.5000 Sn
0.0000 0.5000 0.8673 Sb
0.5000 0.0000 0.1327 Sb
0.5000 0.5000 0.5000 Sb
0.0000 0.0000 0.0000 Ir
0.0000 0.5000 0.6298 Ir
0.5000 0.0000 0.3702 Ir
0.5000 0.5000 0.0000 Ir
```